## P
{"formula": "Cs2BiSb", "functional": "PBE", "state": "optimized geometry", "total_magnetization_mub_per_atom": 0.00, "cell": [[4.7192, 0.0000, 0.0000], [0.0000, 11.5840, 0.0000], [0.0000, 0.0000, 7.5508]], "species": ["Cs", "Cs", "Cs", "Cs", "Bi", "Bi", "Sb", "Sb"], "fractional_positions": [[0.0000, 0.1996, 0.0000], [0.0000, 0.8004, 0.0000], [0.5000, 0.3004, 0.5000], [0.5000, 0.6996, 0.5000], [0.0000, 0.0000, 0.4776], [0.5000, 0.5000, 0.9776], [0.0000, 0.5000, 0.2247], [0.5000, 0.0000, 0.7247]]}


## Q
{"formula": "Cs2BiSb", "functional": "PBE", "state": "optimized geometry", "total_magnetization_mub_per_atom": 0.00, "cell": [[9.0623, 0.0000, 0.0000], [0.0000, 9.0623, 0.0000], [0.0000, 0.0000, 9.0623]], "species": ["Cs", "Cs", "Cs", "Cs", "Cs", "Cs", "Cs", "Cs", "Bi", "Bi", "Bi", "Bi", "Sb", "Sb", "Sb", "Sb"], "fractional_positions": [[0.2500, 0.2500, 0.2500], [0.2500, 0.2500, 0.7500], [0.2500, 0.7500, 0.2500], [0.2500, 0.7500, 0.7500], [0.7500, 0.2500, 0.2500], [0.7500, 0.2500, 0.7500], [0.7500, 0.7500, 0.2500], [0.7500, 0.7500, 0.7500], [0.0000, 0.0000, 0.0000], [0.0000, 0.5000, 0.5000], [0.5000, 0.0000, 0.5000], [0.5000, 0.5000, 0.0000], [0.0000, 0.0000, 0.5000], [0.0000, 0.5000, 0.0000], [0.5000, 0.0000, 0.0000], [0.5000, 0.5000, 0.5000]]}


Which of them is least stable? Easy: Q.


## P
{"formula": "Cs2BiSb2", "functional": "PBE", "state": "optimized geometry", "total_magnetization_mub_per_atom": 0.00, "cell": [[8.2350, 0.0000, 0.0000], [0.0000, 8.2350, 0.0000], [0.0000, 0.0000, 6.2421]], "species": ["Cs", "Cs", "Cs", "Cs", "Bi", "Bi", "Sb", "Sb", "Sb", "Sb"], "fractional_positions": [[0.1791, 0.3209, 0.0000], [0.3209, 0.8209, 0.0000], [0.6791, 0.1791, 0.0000], [0.8209, 0.6791, 0.0000], [0.0000, 0.0000, 0.5000], [0.5000, 0.5000, 0.5000], [0.1224, 0.6224, 0.5000], [0.3776, 0.1224, 0.5000], [0.6224, 0.8776, 0.5000], [0.8776, 0.3776, 0.5000]]}


## Q
{"formula": "Cs2BiSb2", "functional": "PBE", "state": "optimized geometry", "total_magnetization_mub_per_atom": 0.00, "cell": [[6.4736, -3.0014, 0.0000], [6.4736, 3.0014, 0.0000], [-5.9756, 0.0000, 11.3845]], "species": ["Cs", "Cs", "Cs", "Cs", "Bi", "Bi", "Sb", "Sb", "Sb", "Sb"], "fractional_positions": [[0.0884, 0.0884, 0.4022], [0.3258, 0.3258, 0.8028], [0.6742, 0.6742, 0.1972], [0.9116, 0.9116, 0.5978], [0.3419, 0.3419, 0.1267], [0.6581, 0.6581, 0.8733], [0.0798, 0.0798, 0.9423], [0.3890, 0.3890, 0.3818], [0.6110, 0.6110, 0.6182], [0.9202, 0.9202, 0.0577]]}


Which of them is least stable? Easy: Q.


## P
{"formula": "CsBi3Sb", "functional": "PBE", "state": "optimized geometry", "total_magnetization_mub_per_atom": 0.00, "cell": [[6.2016, 0.0000, 0.0000], [0.0000, 6.2016, 0.0000], [0.0000, 0.0000, 6.2016]], "species": ["Cs", "Bi", "Bi", "Bi", "Sb"], "fractional_positions": [[0.0000, 0.0000, 0.0000], [0.0000, 0.0000, 0.5000], [0.0000, 0.5000, 0.0000], [0.5000, 0.0000, 0.0000], [0.5000, 0.5000, 0.5000]]}


## Q
{"formula": "CsBi3Sb", "functional": "PBE", "state": "optimized geometry", "total_magnetization_mub_per_atom": 0.00, "cell": [[6.0376, 0.0000, 0.0000], [0.0000, 6.0376, 0.0000], [0.0000, 0.0000, 6.0376]], "species": ["Cs", "Bi", "Bi", "Bi", "Sb"], "fractional_positions": [[0.0000, 0.0000, 0.0000], [0.0000, 0.5000, 0.5000], [0.5000, 0.0000, 0.5000], [0.5000, 0.5000, 0.0000], [0.5000, 0.5000, 0.5000]]}


Which of them is least stable? Easy: P.


## P
{"formula": "Cs3Bi2Sb4", "functional": "PBE", "state": "optimized geometry", "total_magnetization_mub_per_atom": 0.00, "cell": [[5.0310, 0.0000, 0.0000], [-2.5154, 7.4389, 0.0000], [-0.0280, -1.4713, 10.8486]], "species": ["Cs", "Cs", "Cs", "Bi", "Bi", "Sb", "Sb", "Sb", "Sb"], "fractional_positions": [[0.0000, 0.0000, 0.0000], [0.3627, 0.7260, 0.6336], [0.6373, 0.2740, 0.3664], [0.3310, 0.6627, 0.2605], [0.6690, 0.3373, 0.7395], [0.0638, 0.1275, 0.6382], [0.2964, 0.5929, 0.9819], [0.7036, 0.4071, 0.0181], [0.9362, 0.8725, 0.3618]]}


## Q
{"formula": "Cs3Bi2Sb4", "functional": "PBE", "state": "optimized geometry", "total_magnetization_mub_per_atom": 0.00, "cell": [[5.1504, 0.0000, 0.0000], [-2.5732, 7.1101, 0.0000], [-0.0506, -3.8546, 11.8459]], "species": ["Cs", "Cs", "Cs", "Bi", "Bi", "Sb", "Sb", "Sb", "Sb"], "fractional_positions": [[0.0000, 0.0000, 0.0000], [0.3952, 0.7974, 0.6347], [0.6048, 0.2026, 0.3653], [0.2825, 0.5597, 0.2915], [0.7175, 0.4403, 0.7085], [0.1192, 0.2429, 0.7415], [0.2746, 0.5501, 0.9503], [0.7254, 0.4499, 0.0497], [0.8808, 0.7571, 0.2585]]}


Which of them is least stable? Easy: Q.


## P
{"formula": "CsBiSb2Te", "functional": "PBE", "state": "optimized geometry", "total_magnetization_mub_per_atom": 0.00, "cell": [[6.1399, 0.0000, 0.0000], [0.0000, 6.1399, 0.0000], [0.0000, 0.0000, 6.1912]], "species": ["Cs", "Bi", "Sb", "Sb", "Te"], "fractional_positions": [[0.0000, 0.0000, 0.0000], [0.5000, 0.5000, 0.5000], [0.0000, 0.5000, 0.0000], [0.5000, 0.0000, 0.0000], [0.0000, 0.0000, 0.5000]]}


## Q
{"formula": "CsBiSb2Te", "functional": "PBE", "state": "optimized geometry", "total_magnetization_mub_per_atom": 0.27, "cell": [[5.9648, 0.0000, 0.0000], [0.0000, 5.9648, 0.0000], [0.0000, 0.0000, 6.2569]], "species": ["Cs", "Bi", "Sb", "Sb", "Te"], "fractional_positions": [[0.0000, 0.0000, 0.0000], [0.5000, 0.5000, 0.5000], [0.0000, 0.5000, 0.5000], [0.5000, 0.0000, 0.5000], [0.5000, 0.5000, 0.0000]]}


Which of them is least stable? Easy: P.


## P
{"formula": "Cs2ScBi", "functional": "PBE", "state": "optimized geometry", "total_magnetization_mub_per_atom": 0.15, "cell": [[5.0047, 0.0000, 0.0000], [0.0000, 5.0047, 0.0000], [0.0000, 0.0000, 20.0165]], "species": ["Cs", "Cs", "Cs", "Cs", "Sc", "Sc", "Bi", "Bi"], "fractional_positions": [[0.2500, 0.2500, 0.1034], [0.2500, 0.2500, 0.6820], [0.7500, 0.7500, 0.3180], [0.7500, 0.7500, 0.8966], [0.2500, 0.7500, 0.5000], [0.7500, 0.2500, 0.5000], [0.2500, 0.2500, 0.4157], [0.7500, 0.7500, 0.5843]]}


## Q
{"formula": "Cs2ScBi", "functional": "PBE", "state": "optimized geometry", "total_magnetization_mub_per_atom": 0.00, "cell": [[14.6843, 0.0000, 0.0000], [0.0000, 14.6843, 0.0000], [0.0000, 0.0000, 5.6379]], "species": ["Cs", "Cs", "Cs", "Cs", "Cs", "Cs", "Cs", "Cs", "Sc", "Sc", "Sc", "Sc", "Bi", "Bi", "Bi", "Bi"], "fractional_positions": [[0.0835, 0.7500, 0.1250], [0.2500, 0.0835, 0.8750], [0.2500, 0.4165, 0.3750], [0.4165, 0.7500, 0.6250], [0.5835, 0.2500, 0.6250], [0.7500, 0.5835, 0.3750], [0.7500, 0.9165, 0.8750], [0.9165, 0.2500, 0.1250], [0.0000, 0.0000, 0.5000], [0.0000, 0.5000, 0.7500], [0.5000, 0.0000, 0.2500], [0.5000, 0.5000, 0.0000], [0.0000, 0.0000, 0.0000], [0.0000, 0.5000, 0.2500], [0.5000, 0.0000, 0.7500], [0.5000, 0.5000, 0.5000]]}


Which of them is least stable? Easy: Q.


## P
{"formula": "CsBiSe3", "functional": "PBE", "state": "optimized geometry", "total_magnetization_mub_per_atom": 0.00, "cell": [[5.6329, 0.0000, 0.0000], [0.0000, 5.6329, 0.0000], [0.0000, 0.0000, 5.6329]], "species": ["Cs", "Bi", "Se", "Se", "Se"], "fractional_positions": [[0.0000, 0.0000, 0.0000], [0.5000, 0.5000, 0.5000], [0.0000, 0.5000, 0.5000], [0.5000, 0.0000, 0.5000], [0.5000, 0.5000, 0.0000]]}


## Q
{"formula": "CsBiSe3", "functional": "PBE", "state": "optimized geometry", "total_magnetization_mub_per_atom": 0.00, "cell": [[5.7535, 0.0000, 0.0000], [0.0000, 5.7535, 0.0000], [0.0000, 0.0000, 5.7535]], "species": ["Cs", "Bi", "Se", "Se", "Se"], "fractional_positions": [[0.0000, 0.0000, 0.0000], [0.5000, 0.5000, 0.5000], [0.0000, 0.0000, 0.5000], [0.0000, 0.5000, 0.0000], [0.5000, 0.0000, 0.0000]]}


## R
{"formula": "CsBiSe3", "functional": "PBE", "state": "optimized geometry", "total_magnetization_mub_per_atom": 0.00, "cell": [[8.5356, 0.0000, 0.0000], [0.0000, 10.0748, 0.0000], [0.0000, 0.0000, 8.1697]], "species": ["Cs", "Cs", "Cs", "Cs", "Bi", "Bi", "Bi", "Bi", "Se", "Se", "Se", "Se", "Se", "Se", "Se", "Se", "Se", "Se", "Se", "Se"], "fractional_positions": [[0.0300, 0.2500, 0.0525], [0.4700, 0.7500, 0.5525], [0.5300, 0.2500, 0.4475], [0.9700, 0.7500, 0.9475], [0.0000, 0.0000, 0.5000], [0.0000, 0.5000, 0.5000], [0.5000, 0.0000, 0.0000], [0.5000, 0.5000, 0.0000], [0.1466, 0.2500, 0.6231], [0.2397, 0.0262, 0.7639], [0.2397, 0.4738, 0.7639], [0.2603, 0.5262, 0.2639], [0.2603, 0.9738, 0.2639], [0.3534, 0.7500, 0.1231], [0.6466, 0.2500, 0.8769], [0.7397, 0.0262, 0.7361], [0.7397, 0.4738, 0.7361], [0.7603, 0.5262, 0.2361], [0.7603, 0.9738, 0.2361], [0.8534, 0.7500, 0.3769]]}


Which of them is least stable? Easy: Q.


## P
{"formula": "CsBiSe", "functional": "PBE", "state": "optimized geometry", "total_magnetization_mub_per_atom": 0.00, "cell": [[5.2163, 0.0000, 0.0000], [0.0377, 5.5368, 0.0000], [0.2925, 2.5567, 11.2772]], "species": ["Cs", "Cs", "Bi", "Bi", "Se", "Se"], "fractional_positions": [[0.2425, 0.3244, 0.3365], [0.7575, 0.6756, 0.6635], [0.1167, 0.0633, 0.8848], [0.8833, 0.9367, 0.1152], [0.2832, 0.1804, 0.6627], [0.7168, 0.8196, 0.3373]]}


## Q
{"formula": "CsBiSe", "functional": "PBE", "state": "optimized geometry", "total_magnetization_mub_per_atom": 0.00, "cell": [[5.3462, 0.0000, 0.0000], [0.0000, 11.3090, 0.0000], [0.0000, 0.0000, 8.5771]], "species": ["Cs", "Cs", "Cs", "Cs", "Bi", "Bi", "Bi", "Bi", "Se", "Se", "Se", "Se"], "fractional_positions": [[0.2500, 0.1430, 0.0000], [0.2500, 0.3570, 0.5000], [0.7500, 0.6430, 0.5000], [0.7500, 0.8570, 0.0000], [0.2500, 0.5782, 0.9611], [0.2500, 0.9218, 0.4611], [0.7500, 0.0782, 0.4611], [0.7500, 0.4218, 0.9611], [0.2500, 0.7338, 0.2372], [0.2500, 0.7662, 0.7372], [0.7500, 0.2338, 0.7372], [0.7500, 0.2662, 0.2372]]}


## R
{"formula": "CsBiSe", "functional": "PBE", "state": "optimized geometry", "total_magnetization_mub_per_atom": 0.00, "cell": [[14.2961, 0.0000, 0.0000], [0.0000, 5.2652, 0.0000], [-0.7071, 0.0000, 7.3776]], "species": ["Cs", "Cs", "Cs", "Cs", "Bi", "Bi", "Bi", "Bi", "Se", "Se", "Se", "Se"], "fractional_positions": [[0.1482, 0.0000, 0.2357], [0.3518, 0.5000, 0.7643], [0.6482, 0.5000, 0.2357], [0.8518, 0.0000, 0.7643], [0.0684, 0.5000, 0.6677], [0.4316, 0.0000, 0.3323], [0.5684, 0.0000, 0.6677], [0.9316, 0.5000, 0.3323], [0.1407, 0.0000, 0.7366], [0.3593, 0.5000, 0.2634], [0.6407, 0.5000, 0.7366], [0.8593, 0.0000, 0.2634]]}


## S
{"formula": "CsBiSe", "functional": "PBE", "state": "optimized geometry", "total_magnetization_mub_per_atom": 0.00, "cell": [[19.3992, 0.0000, 0.0000], [0.0000, 4.6517, 0.0000], [-1.1759, 0.0000, 5.6905]], "species": ["Cs", "Cs", "Cs", "Cs", "Bi", "Bi", "Bi", "Bi", "Se", "Se", "Se", "Se"], "fractional_positions": [[0.0771, 0.0000, 0.3098], [0.4229, 0.5000, 0.6902], [0.5771, 0.5000, 0.3098], [0.9229, 0.0000, 0.6902], [0.2253, 0.5124, 0.8227], [0.2747, 0.0124, 0.1773], [0.7253, 0.0124, 0.8227], [0.7747, 0.5124, 0.1773], [0.0885, 0.5007, 0.8242], [0.4115, 0.0007, 0.1758], [0.5885, 0.0007, 0.8242], [0.9115, 0.5007, 0.1758]]}


Which of them is least stable? Easy: P.